No. 1
Here is a relaxed MoPb3 crystal from Alexandria via LeMat-Bulk. Energies are from PBE.

Lattice parameters (Å, degrees): 3.350 3.350 10.667 90.00 90.00 120.00
Sites, in units of the cell vectors:
Pb 0.667 0.333 0.210
Pb 0.000 0.000 0.500
Pb 0.667 0.333 0.790
Mo 0.000 0.000 0.000

Calculated values
**ρ**: 11.49 g/cm³
**Distance to the lowest polymorph of the same formula**: 0.064 eV per atom

No. 2
Here is a relaxed MoPb3 crystal from Alexandria via LeMat-Bulk. Energies are from PBE.

Lattice parameters (Å, degrees): 3.436 3.436 8.693 90.00 90.00 90.00
Site moments in Bohr magnetons follow the coordinates.
Sites, in units of the cell vectors:
Pb 0.500 0.500 0.802  0.00
Pb 0.000 0.000 0.500  -0.01
Pb 0.500 0.500 0.198  0.00
Mo 0.000 0.000 0.000  0.29

Calculated values
**ρ**: 11.61 g/cm³
**Distance to the lowest polymorph of the same formula**: 0.082 eV per atom

No. 3
Here is a relaxed MoPb3 crystal from Alexandria via LeMat-Bulk. Energies are from PBE.

Lattice parameters (Å, degrees): 5.046 3.514 6.198 72.22 90.00 90.00
Site moments in Bohr magnetons follow the coordinates.
Sites, in units of the cell vectors:
Mo 0.000 0.000 0.000  1.62
Pb 0.500 0.846 0.772  -0.02
Pb 0.500 0.154 0.228  -0.02
Pb 0.000 0.500 0.500  -0.03

Calculated values
**ρ**: 11.39 g/cm³
**Distance to the lowest polymorph of the same formula**: 0.232 eV per atom

No. 4
Here is a relaxed MoPb3 crystal from Alexandria via LeMat-Bulk. Energies are from PBE.

Lattice parameters (Å, degrees): 5.932 5.932 5.932 90.00 90.00 90.00
Site moments in Bohr magnetons follow the coordinates.
Sites, in units of the cell vectors:
Mo 0.000 0.000 0.000  2.02
Mo 0.500 0.500 0.500  2.02
Pb 0.500 0.000 0.750  -0.03
Pb 0.250 0.500 0.000  -0.03
Pb 0.500 0.000 0.250  -0.03
Pb 0.000 0.750 0.500  -0.03
Pb 0.750 0.500 0.000  -0.03
Pb 0.000 0.250 0.500  -0.03

Calculated values
**ρ**: 11.42 g/cm³
**Distance to the lowest polymorph of the same formula**: 0.301 eV per atom

No. 5
Here is a relaxed MoPd12Pb3 crystal from Alexandria via LeMat-Bulk. Energies are from PBE.

Lattice parameters (Å, degrees): 4.059 4.059 16.349 90.00 90.00 90.00
Site moments in Bohr magnetons follow the coordinates.
Sites, in units of the cell vectors:
Pd 0.500 0.500 0.500  0.00
Pd 0.500 0.500 0.757  0.01
Pd 0.500 0.000 0.628  0.00
Pd 0.000 0.500 0.114  0.04
Pd 0.500 0.000 0.886  0.04
Pd 0.500 0.000 0.372  0.00
Pd 0.500 0.000 0.114  0.04
Pd 0.000 0.500 0.372  0.00
Pd 0.500 0.500 0.243  0.01
Pd 0.000 0.500 0.628  0.00
Pd 0.000 0.500 0.886  0.04
Pd 0.500 0.500 0.000  0.03
Pb 0.000 0.000 0.247  0.00
Pb 0.000 0.000 0.753  0.00
Pb 0.000 0.000 0.500  0.00
Mo 0.000 0.000 0.000  1.01

Calculated values
**Electronic total energy**: -5.47 eV per atom
**ρ**: 12.30 g/cm³

No. 6
Here is a relaxed Mo4PdPb2 crystal from Alexandria via LeMat-Bulk. Energies are from PBE.

Lattice parameters (Å, degrees): 4.719 4.719 8.056 72.97 72.97 90.00
Site moments in Bohr magnetons follow the coordinates.
Sites, in units of the cell vectors:
Mo 0.000 0.500 0.000  -0.45
Mo 0.174 0.174 0.652  2.45
Mo 0.826 0.826 0.348  2.45
Mo 0.500 0.000 0.000  -0.45
Pb 0.634 0.634 0.733  -0.07
Pb 0.366 0.366 0.267  -0.07
Pd 0.000 0.000 0.000  0.07

Calculated values
**Electronic total energy**: -6.41 eV per atom
**ρ**: 9.20 g/cm³